Entry A
Density functional theory data (PBE-GGA) for GeRuAu after structural relaxation.

Geometry as POSCAR:
```
GeRuAu
1.0
5.743 0.000 0.000
0.000 8.020 0.000
-2.851 0.000 4.798
Ge Ru Au
4 4 4
direct
0.210 0.000 0.450 Ge
0.290 0.500 0.550 Ge
0.710 0.500 0.450 Ge
0.790 0.000 0.550 Ge
0.000 0.259 0.500 Ru
0.000 0.741 0.500 Ru
0.500 0.241 0.500 Ru
0.500 0.759 0.500 Ru
0.000 0.231 0.000 Au
0.000 0.769 0.000 Au
0.500 0.269 0.000 Au
0.500 0.731 0.000 Au
```

Calculated values
ρ   11.14 Mg/m³
D(E_F)   1.465 states/eV/f.u.
Space group   No. 12



Entry B
Density functional theory data (PBE-GGA) for GeRuAu after structural relaxation.

Geometry as POSCAR:
```
GeRuAu
1.0
2.933 0.000 0.000
0.000 3.723 0.000
0.000 0.000 9.072
Ge Ru Au
2 2 2
direct
0.000 0.000 0.000 Ge
0.000 0.500 0.500 Ge
0.500 0.000 0.413 Ru
0.500 0.500 0.913 Ru
0.000 0.000 0.704 Au
0.000 0.500 0.204 Au
```

Calculated values
ρ   12.43 Mg/m³
D(E_F)   1.967 states/eV/f.u.
Space group   No. 38



The computed energies, referenced to the most stable structure and given in kJ/mol of atoms, are entry A 0.0; entry B 7.5.



Entry A
Density functional theory data (PBE-GGA) for Ge3AuS after structural relaxation.

Geometry as POSCAR:
```
Ge3AuS
1.0
4.906 0.000 0.000
0.000 4.906 0.000
0.000 0.000 4.906
Ge Au S
3 1 1
direct
0.000 0.000 0.500 Ge
0.000 0.500 0.000 Ge
0.500 0.000 0.000 Ge
0.500 0.500 0.500 Au
0.000 0.000 0.000 S
```

Calculated values
ρ   6.29 Mg/m³
D(E_F)   3.422 states/eV/f.u.
Space group   No. 221



Entry B
Density functional theory data (PBE-GGA) for Ge3AuS after structural relaxation.

Geometry as POSCAR:
```
Ge3AuS
1.0
5.026 0.000 0.000
0.000 5.026 0.000
0.000 0.000 5.026
Ge Au S
3 1 1
direct
0.000 0.000 0.500 Ge
0.000 0.500 0.000 Ge
0.500 0.000 0.000 Ge
0.000 0.000 0.000 Au
0.500 0.500 0.500 S
```

Calculated values
ρ   5.85 Mg/m³
D(E_F)   2.205 states/eV/f.u.
Space group   No. 221



The computed energies, referenced to the most stable structure and given in kJ/mol of atoms, are entry A 0.0; entry B 7.3.



Entry A
Density functional theory data (PBE-GGA) for GeAu2S after structural relaxation.

Geometry as POSCAR:
```
GeAu2S
1.0
6.651 0.000 0.000
0.000 6.651 0.000
0.000 0.000 6.651
Ge Au S
4 8 4
direct
0.000 0.000 0.000 Ge
0.000 0.500 0.500 Ge
0.500 0.000 0.500 Ge
0.500 0.500 0.000 Ge
0.250 0.250 0.250 Au
0.250 0.250 0.750 Au
0.250 0.750 0.250 Au
0.250 0.750 0.750 Au
0.750 0.250 0.250 Au
0.750 0.250 0.750 Au
0.750 0.750 0.250 Au
0.750 0.750 0.750 Au
0.000 0.000 0.500 S
0.000 0.500 0.000 S
0.500 0.000 0.000 S
0.500 0.500 0.500 S
```

Calculated values
ρ   11.26 Mg/m³
D(E_F)   0.525 states/eV/f.u.
Space group   No. 225



Entry B
Density functional theory data (PBE-GGA) for GeAu2S after structural relaxation.

Geometry as POSCAR:
```
GeAu2S
1.0
6.350 0.000 0.000
0.000 6.350 0.000
0.000 0.000 8.995
Ge Au S
4 8 4
direct
0.000 0.000 0.000 Ge
0.000 0.500 0.250 Ge
0.500 0.000 0.750 Ge
0.500 0.500 0.500 Ge
0.247 0.250 0.625 Au
0.250 0.747 0.875 Au
0.250 0.753 0.375 Au
0.253 0.250 0.125 Au
0.747 0.750 0.125 Au
0.750 0.247 0.375 Au
0.750 0.253 0.875 Au
0.753 0.750 0.625 Au
0.000 0.000 0.500 S
0.000 0.500 0.750 S
0.500 0.000 0.250 S
0.500 0.500 0.000 S
```

Calculated values
ρ   9.13 Mg/m³
D(E_F)   1.183 states/eV/f.u.
Space group   No. 122



The computed energies, referenced to the most stable structure and given in kJ/mol of atoms, are entry A 16.7; entry B 0.0.



Entry A
Density functional theory data (PBE-GGA) for GeSb2Au3 after structural relaxation.

Geometry as POSCAR:
```
GeSb2Au3
1.0
5.665 0.000 0.000
0.000 5.638 0.000
-2.735 0.000 8.632
Ge Sb Au
2 4 6
direct
0.000 0.000 0.000 Ge
0.500 0.500 0.000 Ge
0.171 0.500 0.321 Sb
0.334 0.000 0.685 Sb
0.671 0.000 0.321 Sb
0.834 0.500 0.685 Sb
0.002 0.500 0.003 Au
0.179 0.000 0.336 Au
0.326 0.500 0.668 Au
0.502 0.000 0.003 Au
0.679 0.500 0.336 Au
0.826 0.000 0.668 Au
```

Calculated values
ρ   10.93 Mg/m³
D(E_F)   2.820 states/eV/f.u.
Space group   No. 8



Entry B
Density functional theory data (PBE-GGA) for GeSb2Au3 after structural relaxation.

Geometry as POSCAR:
```
GeSb2Au3
1.0
6.470 -3.855 0.000
6.470 3.855 0.000
-0.039 0.000 5.696
Ge Sb Au
2 4 6
direct
0.141 0.859 0.750 Ge
0.859 0.141 0.250 Ge
0.156 0.496 0.253 Sb
0.496 0.156 0.753 Sb
0.504 0.844 0.247 Sb
0.844 0.504 0.747 Sb
0.154 0.158 0.001 Au
0.158 0.154 0.501 Au
0.468 0.532 0.750 Au
0.532 0.468 0.250 Au
0.842 0.846 0.499 Au
0.846 0.842 0.999 Au
```

Calculated values
ρ   10.60 Mg/m³
D(E_F)   3.333 states/eV/f.u.
Space group   No. 15



The computed energies, referenced to the most stable structure and given in kJ/mol of atoms, are entry A 0.0; entry B 2.4.



Entry A
Density functional theory data (PBE-GGA) for Ge2Sb2Au5 after structural relaxation.

Geometry as POSCAR:
```
Ge2Sb2Au5
1.0
6.325 -2.154 0.000
6.325 2.154 0.000
-4.556 0.000 7.668
Ge Sb Au
2 2 5
direct
0.144 0.144 0.021 Ge
0.856 0.856 0.979 Ge
0.347 0.347 0.460 Sb
0.653 0.653 0.540 Sb
0.000 0.000 0.500 Au
0.088 0.088 0.262 Au
0.390 0.390 0.165 Au
0.610 0.610 0.835 Au
0.912 0.912 0.738 Au
```

Calculated values
ρ   10.92 Mg/m³
D(E_F)   4.207 states/eV/f.u.
Space group   No. 12



Entry B
Density functional theory data (PBE-GGA) for Ge2Sb2Au5 after structural relaxation.

Geometry as POSCAR:
```
Ge2Sb2Au5
1.0
6.522 -2.342 0.000
6.522 2.342 0.000
-1.965 0.000 6.769
Ge Sb Au
2 2 5
direct
0.182 0.182 0.359 Ge
0.818 0.818 0.641 Ge
0.426 0.426 0.130 Sb
0.574 0.574 0.870 Sb
0.000 0.000 0.500 Au
0.181 0.181 0.988 Au
0.384 0.384 0.544 Au
0.616 0.616 0.456 Au
0.819 0.819 0.012 Au
```

Calculated values
ρ   11.03 Mg/m³
D(E_F)   3.396 states/eV/f.u.
Space group   No. 12



The computed energies, referenced to the most stable structure and given in kJ/mol of atoms, are entry A 1.4; entry B 0.0.



Entry A
Density functional theory data (PBE-GGA) for GeSb2Au2 after structural relaxation.

Geometry as POSCAR:
```
GeSb2Au2
1.0
8.165 0.000 0.000
0.000 8.165 0.000
0.000 0.000 3.508
Ge Sb Au
2 4 4
direct
0.000 0.000 0.000 Ge
0.500 0.500 0.000 Ge
0.186 0.314 0.000 Sb
0.314 0.814 0.000 Sb
0.686 0.186 0.000 Sb
0.814 0.686 0.000 Sb
0.121 0.621 0.500 Au
0.379 0.121 0.500 Au
0.621 0.879 0.500 Au
0.879 0.379 0.500 Au
```

Calculated values
ρ   10.08 Mg/m³
D(E_F)   2.966 states/eV/f.u.
Space group   No. 127



Entry B
Density functional theory data (PBE-GGA) for GeSb2Au2 after structural relaxation.

Geometry as POSCAR:
```
GeSb2Au2
1.0
3.886 0.000 0.000
0.000 3.886 0.000
0.000 0.000 15.586
Ge Sb Au
2 4 4
direct
0.000 0.000 0.000 Ge
0.500 0.500 0.500 Ge
0.000 0.000 0.397 Sb
0.000 0.000 0.603 Sb
0.500 0.500 0.103 Sb
0.500 0.500 0.897 Sb
0.000 0.500 0.250 Au
0.000 0.500 0.750 Au
0.500 0.000 0.250 Au
0.500 0.000 0.750 Au
```

Calculated values
ρ   10.02 Mg/m³
D(E_F)   1.113 states/eV/f.u.
Space group   No. 139



Entry C
Density functional theory data (PBE-GGA) for GeSb2Au2 after structural relaxation.

Geometry as POSCAR:
```
GeSb2Au2
1.0
4.408 0.000 0.000
0.000 4.408 0.000
0.000 0.000 12.818
Ge Sb Au
2 4 4
direct
0.000 0.000 0.000 Ge
0.500 0.500 0.500 Ge
0.000 0.500 0.250 Sb
0.000 0.500 0.750 Sb
0.500 0.000 0.250 Sb
0.500 0.000 0.750 Sb
0.000 0.000 0.397 Au
0.000 0.000 0.603 Au
0.500 0.500 0.103 Au
0.500 0.500 0.897 Au
```

Calculated values
ρ   9.47 Mg/m³
D(E_F)   2.779 states/eV/f.u.
Space group   No. 139



Entry D
Density functional theory data (PBE-GGA) for GeSb2Au2 after structural relaxation.

Geometry as POSCAR:
```
GeSb2Au2
1.0
7.504 0.000 0.000
0.000 7.504 0.000
0.000 0.000 4.059
Ge Sb Au
2 4 4
direct
0.000 0.000 0.000 Ge
0.500 0.500 0.000 Ge
0.173 0.327 0.500 Sb
0.327 0.827 0.500 Sb
0.673 0.173 0.500 Sb
0.827 0.673 0.500 Sb
0.135 0.635 0.000 Au
0.365 0.135 0.000 Au
0.635 0.865 0.000 Au
0.865 0.365 0.000 Au
```

Calculated values
ρ   10.32 Mg/m³
D(E_F)   2.128 states/eV/f.u.
Space group   No. 127



The computed energies, referenced to the most stable structure and given in kJ/mol of atoms, are entry A 5.4; entry B 2.2; entry C 15.7; entry D 0.0.